Nd2Sm6Pu (PBE, optimized geometry); formation energy = 0.07 eV/atom; density = 7.85 g/cm³; N(E_F) = 36.81 states/eV per cell; final energy = -5.73 eV per atom
1.0
-1.574 0.853 6.624
10.694 -7.953 5.414
13.218 -2.123 5.263
Nd Sm Pu
4 12 2
Cartesian
18.363 -7.096 10.326
5.190 -1.566 3.637
3.975 -2.127 6.974
17.148 -7.657 13.663
14.785 -6.691 11.003
6.347 -3.073 9.634
7.553 -2.532 6.297
15.991 -6.150 7.666
1.243 0.253 7.572
20.741 -8.048 13.014
21.095 -9.476 9.728
1.597 -1.175 4.286
10.240 -4.902 5.634
12.437 -5.782 8.381
12.098 -4.321 11.666
9.901 -3.441 8.919
12.640 -2.336 6.930
9.698 -6.887 10.371

=====

PmPrAlNi (PBE, optimized geometry); formation energy = -0.19 eV/atom; density = 6.38 g/cm³; N(E_F) = 3.90 states/eV per cell; final energy = -4.95 eV per atom
1.0
5.152 0.000 0.000
2.576 4.462 0.000
2.576 1.487 4.207
Pr Ni Al Pm
1 1 1 1
Cartesian
5.152 2.975 2.103
2.576 1.487 1.052
7.728 4.462 3.155
0.000 0.000 0.000

=====

Tb3Ho2ThS6 (PBE, optimized geometry); density = 7.90 g/cm³; N(E_F) = 5.90 states/eV per cell; final energy = -6.56 eV per atom; formation energy without anion corrections = -1.958 eV per atom
1.0
3.929 0.000 0.000
0.000 7.885 0.305
-1.965 -2.247 8.262
Tb Ho Th S
3 2 1 6
Cartesian
1.965 3.943 0.153
1.965 -0.205 5.620
0.000 5.843 2.947
1.965 3.777 5.741
0.000 1.861 2.826
1.965 0.000 0.000
0.000 5.707 5.706
1.965 3.823 2.966
1.965 -0.069 2.861
0.000 2.045 0.113
1.965 3.593 8.454
0.000 1.815 5.601

=====

K2RbGe2 (PBE, optimized geometry); formation energy = -0.05 eV/atom; density = 2.49 g/cm³; N(E_F) = 3.15 states/eV per cell; relative energy among the computed polymorphs = 0.000 eV per atom; final energy = -2.53 eV per atom
1.0
4.182 0.000 0.000
0.000 7.069 0.388
-2.091 -1.635 6.866
K Rb Ge
2 1 2
Cartesian
0.000 1.871 4.986
2.091 3.563 2.268
0.000 0.000 0.000
2.091 -0.146 3.163
0.000 5.579 4.092

=====

RbCdHgCl5 (PBE, optimized geometry); density = 3.79 g/cm³; N(E_F) = 0.00 states/eV per cell; final energy = -2.55 eV per atom; formation energy without anion corrections = -1.126 eV per atom
1.0
7.671 -0.096 0.040
-2.331 7.309 0.040
-2.164 -2.923 8.995
Rb Cd Hg Cl
2 2 2 10
Cartesian
0.524 4.064 2.288
2.652 0.226 6.786
-1.082 -1.462 4.497
0.000 0.000 0.000
3.965 1.516 2.288
-0.789 2.773 6.786
-2.160 6.051 2.288
5.336 -1.761 6.786
6.041 1.897 0.880
-2.865 2.393 8.194
4.207 -0.580 3.697
-1.031 4.870 5.377
3.301 3.225 4.073
-0.125 1.064 5.001
2.137 1.653 0.503
1.039 2.637 8.570

=====

ZnBiOs3 (PBE, optimized geometry); formation energy = 1.90 eV/atom; density = 14.62 g/cm³; N(E_F) = 6.75 states/eV per cell; relative energy among the computed polymorphs = 0.000 eV per atom; final energy = -5.87 eV per atom
1.0
4.579 0.000 0.000
0.000 4.579 0.000
0.000 0.000 4.579
Zn Os Bi
1 3 1
Cartesian
0.000 0.000 0.000
0.000 2.289 0.000
0.000 0.000 2.289
2.289 0.000 0.000
2.289 2.289 2.289